Record 1
Entry from Alexandria via LeMat-Bulk: CdCoN3 after structural relaxation (PBE).

Summary:
Crystal system ... cubic
Uncorrected formation energy ... 1437 meV/atom
Symmetry ... No. 221

Unit cell a=3.7376 b=3.7376 c=3.7376 alpha=90.00 beta=90.00 gamma=90.00
Last column: nearest neighbours and their distance in Å.
Atoms (fractional coordinates):
N  0.0000  0.5000  0.0000  2 Co 1.87
N  0.0000  0.0000  0.5000  2 Co 1.87
N  0.5000  0.0000  0.0000  2 Co 1.87
Cd  0.5000  0.5000  0.5000  12 N 2.64
Co  0.0000  0.0000  0.0000  6 N 1.87

***

Record 2
Entry from Alexandria via LeMat-Bulk: CaLa3Pd8 after structural relaxation (PBE).

Summary:
E_form ... -784 meV/atom
Crystal system ... trigonal
Symmetry ... No. 160

Unit cell a=5.5474 b=5.5474 c=9.6053 alpha=73.22 beta=73.22 gamma=60.00
Last column: nearest neighbours and their distance in Å.
Atoms (fractional coordinates):
Ca  0.8736  0.8736  0.3791  12 Pd 3.22-3.27, 4 La 3.36
La  0.5028  0.5028  0.4916  12 Pd 3.19-3.29, 3 Ca 3.36, 1 La 3.45
La  0.3759  0.3759  0.8723  12 Pd 3.24-3.27, 4 La 3.43-3.45
La  0.9972  0.9972  0.0083  12 Pd 3.21-3.32, 1 Ca 3.36, 3 La 3.43
Pd  0.4370  0.4370  0.1875  6 Pd 2.76-2.78
Pd  0.1878  0.1878  0.4366  6 Pd 2.76-2.78
Pd  0.9376  0.9376  0.6874  6 Pd 2.77-2.78
Pd  0.4374  0.9376  0.6874  6 Pd 2.77-2.78
Pd  0.9376  0.4374  0.6874  6 Pd 2.77-2.78
Pd  0.4370  0.9384  0.1875  6 Pd 2.76-2.78
Pd  0.9384  0.4370  0.1875  6 Pd 2.76-2.78
Pd  0.6875  0.6875  0.9375  6 Pd 2.77-2.78

***

Record 3
Entry from Alexandria via LeMat-Bulk: KNaZnGe after structural relaxation (PBE).

Summary:
E_form ... -85 meV/atom
Crystal system ... monoclinic
Symmetry ... No. 8

Unit cell a=4.4098 b=4.4098 c=8.1489 alpha=90.07 beta=90.07 gamma=59.99
Last column: nearest neighbours and their distance in Å.
Atoms (fractional coordinates):
Ge  0.6908  0.6908  0.8949  3 Zn 2.55
Na  0.3574  0.3574  0.6819  3 Zn 3.06, 3 Ge 3.08
Zn  0.0243  0.0243  0.8904  3 Ge 2.55
K  0.3581  0.3581  0.1820  3 Ge 3.46, 3 Zn 3.48

***

Record 4
Entry from Alexandria via LeMat-Bulk: Nd2ScTe3 after structural relaxation (PBE).

Summary:
Crystal system ... orthorhombic
Uncorrected formation energy ... -1305 meV/atom
Symmetry ... No. 70

Unit cell a=7.6306 b=7.6306 c=13.7643 alpha=100.85 beta=100.85 gamma=108.72
Last column: nearest neighbours and their distance in Å.
Atoms (fractional coordinates):
Te  0.0200  0.5200  0.5000  2 Sc 2.91, 4 Nd 3.11-3.15
Te  0.6589  0.1405  0.8242  2 Sc 3.00-3.01, 4 Nd 3.19-3.23
Te  0.4800  0.9800  0.5000  2 Sc 2.91, 4 Nd 3.11-3.15
Te  0.0847  0.0664  0.6758  2 Sc 3.00-3.01, 4 Nd 3.19-3.23
Te  0.1653  0.6836  0.8242  2 Sc 3.00-3.01, 4 Nd 3.19-3.23
Te  0.7700  0.7700  0.0000  2 Sc 2.91, 4 Nd 3.11-3.15
Te  0.8595  0.3411  0.1758  2 Sc 3.00-3.01, 4 Nd 3.19-3.23
Te  0.2300  0.2300  0.0000  2 Sc 2.91, 4 Nd 3.11-3.15
Te  0.5911  0.6095  0.6758  2 Sc 3.00-3.01, 4 Nd 3.19-3.23
Te  0.3164  0.8347  0.1758  2 Sc 3.00-3.01, 4 Nd 3.19-3.23
Te  0.3905  0.4089  0.3242  2 Sc 3.00-3.01, 4 Nd 3.19-3.23
Te  0.9336  0.9153  0.3242  2 Sc 3.00-3.01, 4 Nd 3.19-3.23
Nd  0.4218  0.4218  0.8435  6 Te 3.15-3.23
Nd  0.7462  0.7462  0.4923  6 Te 3.11-3.20
Nd  0.5782  0.5782  0.1565  6 Te 3.15-3.23
Nd  0.5038  0.0038  0.0077  6 Te 3.11-3.20
Nd  0.9962  0.4962  0.9923  6 Te 3.11-3.20
Nd  0.2538  0.2538  0.5077  6 Te 3.11-3.20
Nd  0.8282  0.3282  0.6565  6 Te 3.15-3.23
Nd  0.6718  0.1718  0.3435  6 Te 3.15-3.23
Sc  0.1703  0.6703  0.3406  6 Te 2.91-3.01
Sc  0.0797  0.0797  0.1594  6 Te 2.91-3.01
Sc  0.9203  0.9203  0.8406  6 Te 2.91-3.01
Sc  0.3297  0.8297  0.6594  6 Te 2.91-3.01